{"formula": "NaNi3H", "functional": "PBE", "state": "relaxed", "lattice_angstrom": [[-1.873, -3.244, 0.240], [1.305, -0.495, 3.485], [-2.980, 1.822, 1.375]], "species": ["Ni", "Ni", "Ni", "Na", "H"], "fractional_positions": [[0.000, 0.500, 0.000], [0.500, 0.000, 0.000], [0.000, 0.000, 0.500], [0.500, 0.500, 0.500], [0.000, 0.000, 0.000]], "de_polymorph_ev_per_atom": 0.000, "spacegroup": "Pm-3m", "dos_ef_per_ev_cell": 4.4}